1.
This record from Alexandria describes a relaxed structure of ScCd. The functional is GGA-PBEsol.

abc: 3.280 4.658 5.878
angles: 90.00 106.20 90.00
Sites, in units of the cell vectors:
1 Sc 0.834 0.750 0.669
2 Sc 0.166 0.250 0.331
3 Cd 0.574 0.750 0.148
4 Cd 0.426 0.250 0.852

Values from the calculation:
Total magnetization: 0.00 μB/f.u.
DOS(E_F): 1.98 states/eV/f.u.
Total energy: -4.156 eV per atom
DFT formation energy: -49 kJ/mol of formula units
Space-group type: Cmcm



2.
This record from Alexandria describes a relaxed structure of CoBr. The functional is GGA-PBEsol.

abc: 3.301 3.309 7.262
angles: 90.00 103.14 90.00
Sites, in units of the cell vectors:
1 Co 0.785 0.750 0.571
2 Co 0.215 0.250 0.429
3 Br 0.620 0.750 0.240
4 Br 0.380 0.250 0.760

Values from the calculation:
Total magnetization: 2.00 μB/f.u.
DOS(E_F): 3.41 states/eV/f.u.
Total energy: -4.547 eV per atom
Formation energy (no corrections): 256.7 meV per atom
Space-group type: Cmcm



3.
This record from Alexandria describes a relaxed structure of RbPd3O. The functional is GGA-PBEsol.

abc: 5.007 5.007 5.007
angles: 90.00 90.00 90.00
Sites, in units of the cell vectors:
1 O 0.500 0.500 0.500
2 Rb 0.000 0.000 0.000
3 Pd 0.000 0.500 0.000
4 Pd 0.000 0.000 0.500
5 Pd 0.500 0.000 0.000

Values from the calculation:
Total magnetization: 1.55 μB/f.u.
DOS(E_F): 5.14 states/eV/f.u.
Total energy: -2.681 eV per atom
Formation energy (no corrections): 2149.0 meV per atom
Space-group type: Pm-3m



4.
This record from Alexandria describes a relaxed structure of CrMoBr. The functional is GGA-PBEsol.

abc: 3.045 3.045 6.334
angles: 97.54 97.54 117.02
Sites, in units of the cell vectors:
1 Br 0.994 0.994 0.989
2 Cr 0.319 0.319 0.638
3 Mo 0.687 0.687 0.373

Values from the calculation:
Total magnetization: 0.38 μB/f.u.
DOS(E_F): 2.21 states/eV/f.u.
Total energy: -7.332 eV per atom
Formation energy (no corrections): 627.9 meV per atom
Space-group type: Fmm2



What did the third record say?
This record from Alexandria describes a relaxed structure of RbPd3O. The functional is GGA-PBEsol.

abc: 5.007 5.007 5.007
angles: 90.00 90.00 90.00
Sites, in units of the cell vectors:
1 O 0.500 0.500 0.500
2 Rb 0.000 0.000 0.000
3 Pd 0.000 0.500 0.000
4 Pd 0.000 0.000 0.500
5 Pd 0.500 0.000 0.000

Values from the calculation:
Total magnetization: 1.55 μB/f.u.
DOS(E_F): 5.14 states/eV/f.u.
Total energy: -2.681 eV per atom
Formation energy (no corrections): 2149.0 meV per atom
Space-group type: Pm-3m